Entry 1:
Computed, not measured: a geometry-optimized MoBrO3 structure at the GGA+U level of DFT.

Structure (POSCAR):
```
MoBrO3
1.0
3.967 0.000 0.000
0.000 3.967 0.000
0.000 0.000 3.967
Mo Br O
1 1 3
direct
0.000 0.000 0.000
0.500 0.500 0.500
0.000 0.000 0.500
0.000 0.500 0.000
0.500 0.000 0.000
```

Properties
- space group = Pm-3m (221)
- DOS(E_F) (states/eV per atom) = 0.79
- total DFT energy (no corrections) (eV per atom) = -5.308
- volume (Å³ per cell) = 62.5

Entry 2:
Computed, not measured: a geometry-optimized MoBr2O2 structure at the GGA+U level of DFT.

Structure (POSCAR):
```
MoBr2O2
1.0
8.278 -1.987 0.000
8.278 1.987 0.000
-1.811 0.000 7.585
Mo Br O
2 4 4
direct
0.058 0.942 0.500
0.942 0.058 0.000
0.127 0.177 0.614
0.177 0.127 0.114
0.823 0.873 0.464
0.873 0.823 0.964
0.009 0.991 0.273
0.500 0.500 0.018
0.500 0.500 0.518
0.991 0.009 0.773
```

Properties
- space group = Cc (9)
- total DFT energy (no corrections) (eV per atom) = -5.067
- volume (Å³ per cell) = 249.5

Entry 3:
Computed, not measured: a geometry-optimized MoBrO2 structure at the GGA+U level of DFT.

Structure (POSCAR):
```
MoBrO2
1.0
2.989 0.000 0.000
-1.495 2.589 0.000
0.000 0.000 23.999
Mo Br O
3 3 6
direct
0.000 0.000 0.000
0.333 0.667 0.667
0.667 0.333 0.333
0.000 0.000 0.500
0.333 0.667 0.167
0.667 0.333 0.833
0.000 0.000 0.075
0.000 0.000 0.925
0.333 0.667 0.592
0.333 0.667 0.742
0.667 0.333 0.258
0.667 0.333 0.408
```

Properties
- polymorph energy (0 for the lowest one) (meV/atom) = 1407
- space group = R-3m (166)
- DOS(E_F) (states/eV per atom) = 0.94
- volume (Å³ per cell) = 185.7

Entry 4:
Computed, not measured: a geometry-optimized Mo2BrO structure at the GGA+U level of DFT.

Structure (POSCAR):
```
Mo2BrO
1.0
5.861 0.000 0.000
0.000 5.861 0.000
0.000 0.000 11.990
Mo Br O
8 4 4
direct
0.107 0.250 0.125
0.250 0.607 0.375
0.250 0.893 0.875
0.393 0.250 0.625
0.607 0.750 0.625
0.750 0.107 0.875
0.750 0.393 0.375
0.893 0.750 0.125
0.000 0.000 0.500
0.000 0.500 0.750
0.500 0.000 0.250
0.500 0.500 0.000
0.000 0.000 0.000
0.000 0.500 0.250
0.500 0.000 0.750
0.500 0.500 0.500
```

Properties
- polymorph energy (0 for the lowest one) (meV/atom) = 0
- space group = I-42d (122)
- DOS(E_F) (states/eV per atom) = 0.16
- volume (Å³ per cell) = 411.9

Entry 5:
Computed, not measured: a geometry-optimized MoBrO2 structure at the GGA+U level of DFT.

Structure (POSCAR):
```
MoBrO2
1.0
3.121 0.000 0.000
-1.561 2.703 0.000
0.000 0.000 25.967
Mo Br O
3 3 6
direct
0.000 0.000 0.000
0.333 0.667 0.667
0.667 0.333 0.333
0.000 0.000 0.500
0.333 0.667 0.167
0.667 0.333 0.833
0.000 0.000 0.373
0.000 0.000 0.627
0.333 0.667 0.040
0.333 0.667 0.294
0.667 0.333 0.706
0.667 0.333 0.960
```

Properties
- polymorph energy (0 for the lowest one) (meV/atom) = 101
- space group = R-3m (166)
- DOS(E_F) (states/eV per atom) = 0.52
- volume (Å³ per cell) = 219.1

Entry 6:
Computed, not measured: a geometry-optimized MoBr2O structure at the GGA+U level of DFT.

Structure (POSCAR):
```
MoBr2O
1.0
4.108 0.000 0.000
-2.054 3.557 0.000
0.000 0.000 21.578
Mo Br O
3 6 3
direct
0.000 0.000 0.000
0.333 0.667 0.667
0.667 0.333 0.333
0.000 0.000 0.404
0.000 0.000 0.596
0.333 0.667 0.071
0.333 0.667 0.262
0.667 0.333 0.738
0.667 0.333 0.929
0.000 0.000 0.500
0.333 0.667 0.167
0.667 0.333 0.833
```

Properties
- polymorph energy (0 for the lowest one) (meV/atom) = 1318
- space group = R-3m (166)
- DOS(E_F) (states/eV per atom) = 0.39
- volume (Å³ per cell) = 315.3

Entry 7:
Computed, not measured: a geometry-optimized Mo2BrO structure at the GGA+U level of DFT.

Structure (POSCAR):
```
Mo2BrO
1.0
6.753 0.000 0.000
0.000 6.753 0.000
0.000 0.000 6.753
Mo Br O
8 4 4
direct
0.250 0.250 0.250
0.250 0.250 0.750
0.250 0.750 0.250
0.250 0.750 0.750
0.750 0.250 0.250
0.750 0.250 0.750
0.750 0.750 0.250
0.750 0.750 0.750
0.000 0.000 0.000
0.000 0.500 0.500
0.500 0.000 0.500
0.500 0.500 0.000
0.000 0.000 0.500
0.000 0.500 0.000
0.500 0.000 0.000
0.500 0.500 0.500
```

Properties
- polymorph energy (0 for the lowest one) (meV/atom) = 751
- space group = Fm-3m (225)
- DOS(E_F) (states/eV per atom) = 0.68
- volume (Å³ per cell) = 308.0

Entry 8:
Computed, not measured: a geometry-optimized MoBrO2 structure at the GGA+U level of DFT.

Structure (POSCAR):
```
MoBrO2
1.0
5.329 0.000 0.000
0.000 6.217 0.000
-5.328 0.000 10.327
Mo Br O
4 4 8
direct
0.182 0.000 0.432
0.182 0.500 0.932
0.818 0.000 0.568
0.818 0.500 0.068
0.205 0.249 0.250
0.205 0.251 0.750
0.795 0.749 0.250
0.795 0.751 0.750
0.115 0.665 0.064
0.115 0.835 0.564
0.487 0.665 0.936
0.487 0.835 0.436
0.513 0.165 0.564
0.513 0.335 0.064
0.885 0.165 0.436
0.885 0.335 0.936
```

Properties
- polymorph energy (0 for the lowest one) (meV/atom) = 0
- space group = P2_1/c (14)
- DOS(E_F) (states/eV per atom) = 0.00
- volume (Å³ per cell) = 342.1

Entry 9:
Computed, not measured: a geometry-optimized MoBr2O structure at the GGA+U level of DFT.

Structure (POSCAR):
```
MoBr2O
1.0
6.673 0.000 0.000
0.000 6.673 0.000
0.000 0.000 6.673
Mo Br O
4 8 4
direct
0.000 0.000 0.000
0.000 0.500 0.500
0.500 0.000 0.500
0.500 0.500 0.000
0.250 0.250 0.250
0.250 0.250 0.750
0.250 0.750 0.250
0.250 0.750 0.750
0.750 0.250 0.250
0.750 0.250 0.750
0.750 0.750 0.250
0.750 0.750 0.750
0.000 0.000 0.500
0.000 0.500 0.000
0.500 0.000 0.000
0.500 0.500 0.500
```

Properties
- polymorph energy (0 for the lowest one) (meV/atom) = 1410
- space group = Fm-3m (225)
- DOS(E_F) (states/eV per atom) = 0.60
- volume (Å³ per cell) = 297.2

Entry 10:
Computed, not measured: a geometry-optimized MoBrO3 structure at the GGA+U level of DFT.

Structure (POSCAR):
```
MoBrO3
1.0
4.027 0.000 0.000
0.000 4.027 0.000
0.000 0.000 4.027
Mo Br O
1 1 3
direct
0.000 0.000 0.000
0.500 0.500 0.500
0.000 0.500 0.500
0.500 0.000 0.500
0.500 0.500 0.000
```

Properties
- space group = Pm-3m (221)
- DOS(E_F) (states/eV per atom) = 1.11
- total DFT energy (no corrections) (eV per atom) = -4.085
- volume (Å³ per cell) = 65.3

Entry 11:
Computed, not measured: a geometry-optimized MoBr2O structure at the GGA+U level of DFT.

Structure (POSCAR):
```
MoBr2O
1.0
3.355 0.000 0.000
-1.677 2.905 0.000
0.000 0.000 24.130
Mo Br O
3 6 3
direct
0.000 0.000 0.000
0.333 0.667 0.667
0.667 0.333 0.333
0.000 0.000 0.098
0.000 0.000 0.902
0.333 0.667 0.569
0.333 0.667 0.764
0.667 0.333 0.236
0.667 0.333 0.431
0.000 0.000 0.500
0.333 0.667 0.167
0.667 0.333 0.833
```

Properties
- polymorph energy (0 for the lowest one) (meV/atom) = 2239
- space group = R-3m (166)
- DOS(E_F) (states/eV per atom) = 1.64
- volume (Å³ per cell) = 235.2

Entry 12:
Computed, not measured: a geometry-optimized MoBrO3 structure at the GGA+U level of DFT.

Structure (POSCAR):
```
MoBrO3
1.0
6.048 0.000 0.000
0.179 6.218 0.000
0.196 1.755 6.771
Mo Br O
2 2 6
direct
0.000 0.000 0.000
0.435 0.730 0.056
0.476 0.556 0.628
0.898 0.162 0.278
0.000 0.205 0.787
0.133 0.732 0.954
0.308 0.004 0.090
0.439 0.554 0.291
0.515 0.541 0.892
0.716 0.875 0.009
```

Properties
- space group = P1 (1)
- DOS(E_F) (states/eV per atom) = 0.00
- total DFT energy (no corrections) (eV per atom) = -5.806
- volume (Å³ per cell) = 254.6

Q: Which value of volume does entry 9 give?
A: 297.2 Å³ per cell